Compound: BaZrHg2Se
Source: Alexandria
Functional: GGA-PBEsol
Structure: relaxed Values from VASP.

Calculated values
* N(E_F): 4.09 states/eV/f.u.
* total DFT energy (no corrections): -2.01 eV/atom
* volume: 37.5 Å³ per atom
* formation energy from raw total energies: 1.23 eV per atom
* total magnetic moment: 0.000 μB per formula unit

Structure (Quantum ESPRESSO input):
```
&SYSTEM
  ibrav = 0, nat = 5, ntyp = 4
/
ATOMIC_SPECIES
Ba 137.33 Ba.upf
Zr 91.22 Zr.upf
Se 78.96 Se.upf
Hg 200.59 Hg.upf
CELL_PARAMETERS angstrom
5.586 0.000 0.000
0.000 5.796 0.000
0.000 0.000 5.796
ATOMIC_POSITIONS crystal
Ba 0.000 0.000 0.000
Zr 0.500 0.000 0.000
Se 0.500 0.500 0.500
Hg 0.000 0.500 0.000
Hg 0.000 0.000 0.500
```